# 1
VASP calculation (GGA-PBE) on crystalline Th6AgTe3Os2 at its relaxed geometry.

a b c (Å): 7.354 7.354 8.093
angles (deg): 98.69 98.69 119.95
Fractional coordinates of all 12 atoms:
Th  0.930  0.572  0.791
Th  0.711  0.711  0.204
Th  0.070  0.428  0.209
Th  0.572  0.930  0.791
Th  0.289  0.289  0.796
Th  0.428  0.070  0.209
Ag  0.000  0.000  0.000
Te  0.160  0.840  0.500
Te  0.840  0.160  0.500
Te  0.500  0.500  0.500
Os  0.332  0.668  0.000
Os  0.668  0.332  0.000

Computed properties:
As for the symmetry: C2/m, No. 12. The value obtained for the size of the total moment is 0.00 μB per cell.



# 2
VASP calculation (GGA-PBE) on crystalline Y2Si4Ir3Ru at its relaxed geometry.

a b c (Å): 4.179 4.179 9.655
angles (deg): 90.00 90.00 90.00
Fractional coordinates of all 10 atoms:
Y  0.500  0.000  0.248
Y  0.000  0.500  0.752
Si  0.500  0.500  0.000
Si  0.000  0.000  0.000
Si  0.500  0.000  0.625
Si  0.000  0.500  0.375
Ir  0.000  0.000  0.500
Ir  0.500  0.000  0.873
Ir  0.000  0.500  0.127
Ru  0.500  0.500  0.500

Computed properties:
As for the symmetry: P-4m2, No. 115. The value obtained for the size of the total moment is 0.00 μB per cell.



# 3
VASP calculation (GGA-PBE) on crystalline Pr2SmSe2S2 at its relaxed geometry.

a b c (Å): 5.199 5.199 8.379
angles (deg): 108.07 108.07 90.00
Fractional coordinates of all 7 atoms:
Pr  0.378  0.378  0.756
Pr  0.622  0.622  0.244
Sm  0.000  0.000  0.000
Se  0.188  0.188  0.377
Se  0.812  0.812  0.623
S  0.000  0.500  0.000
S  0.500  0.000  0.000

Computed properties:
As for the symmetry: I4/mmm, No. 139. The value obtained for the size of the total moment is 0.00 μB per cell.



# 4
VASP calculation (GGA-PBE) on crystalline NaRe2F at its relaxed geometry.

a b c (Å): 4.379 4.379 4.379
angles (deg): 60.00 60.00 60.00
Each line ends with the local moment (μB).
Fractional coordinates of all 4 atoms:
Re  0.250  0.250  0.250  0.06
Re  0.750  0.750  0.750  0.06
F  0.000  0.000  0.000  0.00
Na  0.500  0.500  0.500  0.00

Computed properties:
As for the symmetry: Fm-3m, No. 225. The value obtained for the size of the total moment is 0.13 μB per cell. As for the energy above the most stable polymorph in this dataset: 0.514 eV/atom.



Number 1: E_form (uncorrected) -8.98 eV/f.u., mass density 10.40 g/cm3, density of states at the Fermi level 8.446 states/eV per cell. Number 2: E_form (uncorrected) -10.23 eV/f.u., mass density 9.53 g/cm3, density of states at the Fermi level 4.471 states/eV per cell. Number 3: E_form (uncorrected) -11.01 eV/f.u., mass density 5.34 g/cm3, density of states at the Fermi level 2.861 states/eV per cell. Number 4: E_form (uncorrected) 7.52 eV/f.u., mass density 11.59 g/cm3, density of states at the Fermi level 5.961 states/eV per cell.